Entry 1:
VASP calculation (PBE) on a geometry-optimized TbYIr structure.

Total magnetic moment in Bohr magnetons per cell: 0.00
Uncorrected energy in eV/atom: -7.1849
ΔE_f in eV per atom: -0.5332
E above lowest polymorph in eV/atom: 0.1434

abc: 4.1108 4.1108 6.1730
angles: 90.00 90.00 120.00
Last column: nearest neighbours and their distance in Å.
Space group P3m1 (No. 156)
Symmetry-distinct sites (fractional):
Tb 0.0000 0.0000 0.0000 [1 per cell]  3 Ir 2.76
Y 0.6667 0.3333 0.5390 [1 per cell]  3 Ir 2.77
Ir 0.3333 0.6667 0.7704 [1 per cell]  3 Tb 2.76, 3 Y 2.77

---

Entry 2:
VASP calculation (PBE) on a geometry-optimized ZrTeBr2 structure.

Total magnetic moment in Bohr magnetons per cell: 0.00
Uncorrected energy in eV/atom: -4.8398
Formation energy without anion corrections in kJ/mol of formula units: -417
E above lowest polymorph in eV/atom: 0.0000

abc: 14.2256 3.3850 7.2742
angles: 90.00 118.72 90.00
Last column: nearest neighbours and their distance in Å.
Space group Cm (No. 8)
Symmetry-distinct sites (fractional):
Zr 0.0000 0.0000 0.0000 [2 per cell]  4 Br 2.70, 2 Te 2.89
Te 0.1616 0.5000 0.3146 [2 per cell]  2 Zr 2.89
Br 0.3514 0.0000 0.9981 [2 per cell]  2 Zr 2.70
Br 0.4982 0.0000 0.7086 [2 per cell]  2 Zr 2.70

---

Entry 3:
VASP calculation (PBE) on a geometry-optimized ZnIn2CoOs structure.

Total magnetic moment in Bohr magnetons per cell: 1.98
Uncorrected energy in eV/atom: -3.9241
ΔE_f in eV per atom: 1.0932

abc: 4.7701 4.7701 4.4215
angles: 90.00 90.00 90.00
Last column: nearest neighbours and their distance in Å.
Space group P4/mmm (No. 123)
Symmetry-distinct sites (fractional):
Zn 0.0000 0.0000 0.0000 [1 per cell]  2 Co 2.21
In 0.0000 0.5000 0.5000 [2 per cell]  2 Co 2.39
Co 0.0000 0.0000 0.5000 [1 per cell]  2 Zn 2.21, 4 In 2.39
Os 0.5000 0.5000 0.0000 [1 per cell]  8 In 3.25, 4 Zn 3.37

---

What is the uncorrected energy in the third record?
-3.9241 eV/atom